[1]
Density functional theory data (GGA-PBE) for crystalline ScZnAs2Se at its relaxed geometry. Values from VASP.

```
&SYSTEM
  ibrav = 0, nat = 5, ntyp = 4
/
ATOMIC_SPECIES
Sc 44.96 Sc.upf
As 74.92 As.upf
Zn 65.41 Zn.upf
Se 78.96 Se.upf
CELL_PARAMETERS angstrom
-2.0216 2.0909 -3.7840
-4.3174 -1.1939 1.6468
-0.2345 4.2917 2.4967
ATOMIC_POSITIONS crystal
Sc 0.5000 0.5000 0.5000
As 0.0000 0.5000 0.0000
As 0.5000 0.0000 0.0000
Zn 0.0000 0.0000 0.0000
Se 0.0000 0.0000 0.5000
```

Output
For the uncorrected formation energy, the calculation gives 16.58 kJ/mol of atoms. The symmetry is P4/mmm (123). The calculation puts the total energy at -3.906 eV/atom. The value obtained for the energy relative to the lowest polymorph listed for this composition is 9 meV per atom.

=====

[2]
Density functional theory data (GGA-PBE) for crystalline CsTl2Pt at its relaxed geometry. Values from VASP.

```
&SYSTEM
  ibrav = 0, nat = 8, ntyp = 3
/
ATOMIC_SPECIES
Cs 132.91 Cs.upf
Tl 204.38 Tl.upf
Pt 195.08 Pt.upf
CELL_PARAMETERS angstrom
-4.5502 -1.4290 4.9033
-0.5094 -6.4073 -2.3401
3.4347 -6.1738 6.1593
ATOMIC_POSITIONS crystal
Cs 0.5000 0.5000 0.0000
Cs 0.2500 0.7500 0.5000
Tl 0.8754 0.1250 0.2500
Tl 0.8746 0.6250 0.2500
Tl 0.3750 0.1246 0.7500
Tl 0.8750 0.1254 0.7500
Pt 0.0000 0.0000 0.0000
Pt 0.7500 0.2500 0.5000
```

Output
The symmetry is I4_1/amd (141). The calculation puts the total energy at -2.945 eV/atom.

=====

[3]
Density functional theory data (GGA-PBE) for crystalline Ho4AgBiS8 at its relaxed geometry. Values from VASP.

```
&SYSTEM
  ibrav = 0, nat = 14, ntyp = 4
/
ATOMIC_SPECIES
Ho 164.93 Ho.upf
Ag 107.87 Ag.upf
Bi 208.98 Bi.upf
S 32.06 S.upf
CELL_PARAMETERS angstrom
8.0082 0.0000 0.0000
4.0041 6.9353 0.0000
4.0041 2.3118 6.6298
ATOMIC_POSITIONS crystal
Ho 0.6259 0.6259 0.1224
Ho 0.0038 0.4908 0.5015
Ho 0.4908 0.0038 0.5015
Ho 0.0038 0.0038 0.5015
Ag 0.3696 0.3696 0.8913
Bi 0.0089 0.0089 0.9733
S 0.2482 0.7697 0.7339
S 0.7697 0.2482 0.7339
S 0.2482 0.2482 0.7339
S 0.2401 0.2401 0.2796
S 0.7519 0.2288 0.2674
S 0.2288 0.7519 0.2674
S 0.7519 0.7519 0.2674
S 0.7584 0.7584 0.7247
```

Output
For the uncorrected formation energy, the calculation gives -147.44 kJ/mol of atoms. The symmetry is R3m (160). The calculation puts the total energy at -5.675 eV/atom.

=====

[4]
Density functional theory data (GGA-PBE) for crystalline K2MgOsN at its relaxed geometry. Values from VASP.

```
&SYSTEM
  ibrav = 0, nat = 5, ntyp = 4
/
ATOMIC_SPECIES
K 39.10 K.upf
Os 190.23 Os.upf
Mg 24.30 Mg.upf
N 14.01 N.upf
CELL_PARAMETERS angstrom
-0.7180 6.1423 -1.9884
-4.8990 -0.4296 0.4419
0.3767 2.0371 6.1567
ATOMIC_POSITIONS crystal
K 0.0000 0.0000 0.5000
K 0.5000 0.0000 0.0000
Os 0.0000 0.5000 0.0000
Mg 0.0000 0.0000 0.0000
N 0.5000 0.5000 0.5000
```

Output
For the uncorrected formation energy, the calculation gives 188.18 kJ/mol of atoms. The symmetry is P4/mmm (123). The calculation puts the total energy at -2.719 eV/atom.

=====

[5]
Density functional theory data (GGA-PBE) for crystalline TaGaPd3 at its relaxed geometry. Values from VASP.

```
&SYSTEM
  ibrav = 0, nat = 5, ntyp = 3
/
ATOMIC_SPECIES
Ga 69.72 Ga.upf
Pd 106.42 Pd.upf
Ta 180.95 Ta.upf
CELL_PARAMETERS angstrom
-3.9482 0.3260 -2.8583
-0.0247 -4.8574 -0.5199
-2.8768 -0.4057 3.9274
ATOMIC_POSITIONS crystal
Ga 0.5000 0.5000 0.5000
Pd 0.0000 0.5000 0.0000
Pd 0.0000 0.0000 0.5000
Pd 0.5000 0.0000 0.0000
Ta 0.0000 0.0000 0.0000
```

Output
The symmetry is Pm-3m (221). The calculation puts the total energy at -5.256 eV/atom. The value obtained for the energy relative to the lowest polymorph listed for this composition is 1218 meV per atom.

=====

[6]
Density functional theory data (GGA-PBE) for crystalline SrHf2FePt at its relaxed geometry. Values from VASP.

```
&SYSTEM
  ibrav = 0, nat = 5, ntyp = 4
/
ATOMIC_SPECIES
Sr 87.62 Sr.upf
Hf 178.49 Hf.upf
Fe 55.84 Fe.upf
Pt 195.08 Pt.upf
CELL_PARAMETERS angstrom
5.0797 0.0000 0.0000
0.0000 4.9097 0.0000
0.0000 0.0000 5.0797
ATOMIC_POSITIONS crystal
Sr 0.0000 0.0000 0.0000
Hf 0.0000 0.0000 0.5000
Hf 0.5000 0.0000 0.0000
Fe 0.5000 0.5000 0.5000
Pt 0.0000 0.5000 0.0000
```

Output
The symmetry is P4/mmm (123). The calculation puts the total energy at -4.783 eV/atom.

=====

[7]
Density functional theory data (GGA-PBE) for crystalline Co2GeHPt at its relaxed geometry. Values from VASP.

```
&SYSTEM
  ibrav = 0, nat = 5, ntyp = 4
/
ATOMIC_SPECIES
H 1.01 H.upf
Ge 72.64 Ge.upf
Co 58.93 Co.upf
Pt 195.08 Pt.upf
CELL_PARAMETERS angstrom
-1.0857 -3.4248 -1.0822
2.4380 -1.5329 2.4053
-2.6603 -0.0072 2.6919
ATOMIC_POSITIONS crystal
H 0.0000 0.0000 0.0000
Ge 0.5000 0.5000 0.5000
Co 0.0000 0.5000 0.0000
Co 0.5000 0.0000 0.0000
Pt 0.0000 0.0000 0.5000
```

Output
The symmetry is P4/mmm (123). The calculation puts the total energy at -5.721 eV/atom.

=====

[8]
Density functional theory data (GGA-PBE) for crystalline PIr2Se at its relaxed geometry. Values from VASP.

```
&SYSTEM
  ibrav = 0, nat = 4, ntyp = 3
/
ATOMIC_SPECIES
P 30.97 P.upf
Ir 192.22 Ir.upf
Se 78.96 Se.upf
CELL_PARAMETERS angstrom
-1.4084 2.7352 4.2359
1.4084 -2.7352 4.2359
1.4084 2.7352 -4.2359
ATOMIC_POSITIONS crystal
P 0.5000 0.0000 0.5000
Ir 0.7147 0.7147 0.0000
Ir 0.2853 0.2853 0.0000
Se 0.0000 0.5000 0.5000
```

Output
For the uncorrected formation energy, the calculation gives 44.77 kJ/mol of atoms. The symmetry is Immm (71). The calculation puts the total energy at -6.190 eV/atom.

=====

[9]
Density functional theory data (GGA-PBE) for crystalline Cs2NaS2O6 at its relaxed geometry. Values from VASP.

```
&SYSTEM
  ibrav = 0, nat = 11, ntyp = 4
/
ATOMIC_SPECIES
Cs 132.91 Cs.upf
Na 22.99 Na.upf
S 32.06 S.upf
O 16.00 O.upf
CELL_PARAMETERS angstrom
6.2284 0.0000 0.0000
3.1142 5.3940 0.0000
3.1142 1.7980 6.6554
ATOMIC_POSITIONS crystal
Cs 0.7587 0.7587 0.7238
Cs 0.2413 0.2413 0.2762
Na 0.0000 0.0000 0.0000
S 0.4255 0.4255 0.7235
S 0.5745 0.5745 0.2765
O 0.7328 0.7328 0.2002
O 0.3343 0.7328 0.2002
O 0.7328 0.3343 0.2002
O 0.2672 0.6657 0.7998
O 0.6657 0.2672 0.7998
O 0.2672 0.2672 0.7998
```

Output
For the uncorrected formation energy, the calculation gives -152.85 kJ/mol of atoms. The symmetry is R-3m (166). The calculation puts the total energy at -5.314 eV/atom.

=====

[10]
Density functional theory data (GGA-PBE) for crystalline Hf2FePd2 at its relaxed geometry. Values from VASP.

```
&SYSTEM
  ibrav = 0, nat = 10, ntyp = 3
/
ATOMIC_SPECIES
Hf 178.49 Hf.upf
Fe 55.84 Fe.upf
Pd 106.42 Pd.upf
CELL_PARAMETERS angstrom
-1.7339 -0.2131 -6.5474
-4.0169 -5.3156 1.2368
-2.9063 2.3575 0.6929
ATOMIC_POSITIONS crystal
Hf 0.1763 0.6763 0.5000
Hf 0.6763 0.8237 0.5000
Hf 0.8237 0.3237 0.5000
Hf 0.3237 0.1763 0.5000
Fe 0.0000 0.0000 0.0000
Fe 0.5000 0.5000 0.0000
Pd 0.3651 0.8651 0.0000
Pd 0.8651 0.6349 0.0000
Pd 0.6349 0.1349 0.0000
Pd 0.1349 0.3651 0.0000
```

Output
The symmetry is P4/mbm (127). The calculation puts the total energy at -7.940 eV/atom.

=====

[11]
Density functional theory data (GGA-PBE) for crystalline RbCd2InS4 at its relaxed geometry. Values from VASP.

```
&SYSTEM
  ibrav = 0, nat = 8, ntyp = 4
/
ATOMIC_SPECIES
Rb 85.47 Rb.upf
Cd 112.41 Cd.upf
In 114.82 In.upf
S 32.06 S.upf
CELL_PARAMETERS angstrom
-3.3907 5.1027 2.7365
-4.0399 -4.3595 3.1138
6.8531 -0.4277 1.0674
ATOMIC_POSITIONS crystal
Rb 0.0003 0.0003 0.0005
Cd 0.7500 0.2500 0.5000
Cd 0.2500 0.7500 0.5000
In 0.5000 0.5000 0.9999
S 0.5609 0.5609 0.7051
S 0.4394 0.8556 0.2950
S 0.8556 0.4394 0.2950
S 0.1442 0.1442 0.7051
```

Output
For the uncorrected formation energy, the calculation gives -67.21 kJ/mol of atoms. The symmetry is I-42m (121). The calculation puts the total energy at -3.452 eV/atom.